The following is a DFT calculation (PBE with a Hubbard U) of a relaxed VAg3I2F6 crystal.

abc: 5.1077 7.3070 7.9321
angles: 117.43 94.85 90.00
Closest atoms and distances in Å follow each position.
Positions (direct):
F (0.2878, 0.1214, 0.8873)  1 V 1.82
F (0.7121, 0.8786, 0.1127)  1 V 1.82
F (0.3129, 0.1044, 0.2089)  1 V 1.83
F (0.7121, 0.2341, 0.1127)  1 V 1.82
F (0.2878, 0.7659, 0.8873)  1 V 1.82
F (0.6871, 0.8956, 0.7911)  1 V 1.83
I (0.8729, 0.3085, 0.6169)  3 Ag 2.71
I (0.1271, 0.6915, 0.3831)  3 Ag 2.71
Ag (0.5000, 0.0000, 0.5000)  2 I 2.71, 2 F 2.84
Ag (0.0000, 0.5000, 0.0000)  2 I 2.71, 4 F 2.93
Ag (0.5000, 0.5000, 0.5000)  2 I 2.71, 2 F 2.84
V (0.5000, 0.0000, 0.0000)  6 F 1.82-1.83

Computed properties:
Its space-group type is No. 12. The calculation puts the calculated total energy at -48.76 eV for the cell shown. The value obtained for the theoretical density is 4.71 g/cm3.